Record 1
# GGA-PBE Ag2GeSbS4, optimized geometry
data_Ag2GeSbS4
_chemical_formula_sum 'Ag4 Ge2 Sb2 S8'
_space_group_name_H-M_alt 'P m n 21'
_space_group_IT_number 31
_cell_length_a 8.917
_cell_length_b 6.555
_cell_length_c 6.752
_cell_angle_alpha 90.00
_cell_angle_beta 90.00
_cell_angle_gamma 90.00
loop_
_space_group_symop_operation_xyz
'x,y,z'
'-x+1/2,-y,z+1/2'
'-x,y,z'
'x+1/2,-y,z+1/2'
loop_
_atom_site_label
_atom_site_fract_x
_atom_site_fract_y
_atom_site_fract_z
Ag1 0.248 0.193 0.000
Ge1 0.000 0.336 0.507
Sb1 0.000 0.714 0.038
S1 0.000 0.347 0.145
S2 0.000 0.661 0.624
S3 0.218 0.184 0.624
# Formation energy without anion corrections = -0.13 eV/atom

---

Record 2
# GGA-PBE Fe2CuNi4, optimized geometry
data_Fe2CuNi4
_chemical_formula_sum 'Fe4 Cu2 Ni8'
_space_group_name_H-M_alt 'I 4/m m m'
_space_group_IT_number 139
_space_group_name_Hall '-I 4 2'
_cell_length_a 5.093
_cell_length_b 5.093
_cell_length_c 6.716
_cell_angle_alpha 90.00
_cell_angle_beta 90.00
_cell_angle_gamma 90.00
loop_
_atom_site_label
_atom_site_fract_x
_atom_site_fract_y
_atom_site_fract_z
Fe1 0.000 0.500 0.000
Cu1 0.000 0.000 0.000
Ni1 0.250 0.250 0.250
# DFT formation energy = 0.19 eV/atom

---

Record 3
# GGA-PBE NaHoMgI6, optimized geometry
data_NaHoMgI6
_chemical_formula_sum 'Na2 Ho2 Mg2 I12'
_space_group_name_H-M_alt 'P -3 1 c'
_space_group_IT_number 163
_space_group_name_Hall '-P 3 2c'
_cell_length_a 7.6168
_cell_length_b 7.6168
_cell_length_c 14.4815
_cell_angle_alpha 90.00
_cell_angle_beta 90.00
_cell_angle_gamma 120.00
loop_
_atom_site_label
_atom_site_fract_x
_atom_site_fract_y
_atom_site_fract_z
Na1 0.0000 0.0000 0.0000
Ho1 0.3333 0.6667 0.2500
Mg1 0.3333 0.6667 0.7500
I1 0.0076 0.3603 0.6319
# Formation energy without anion corrections = -1.22 eV/atom

---

Record 4
# GGA-PBE DyTmMn17, optimized geometry
data_DyTmMn17
_chemical_formula_sum 'Dy3 Tm3 Mn51'
_space_group_name_H-M_alt 'R 3 m'
_space_group_IT_number 160
_space_group_name_Hall 'R 3 -2"'
_cell_length_a 8.6209
_cell_length_b 8.6209
_cell_length_c 11.6180
_cell_angle_alpha 90.00
_cell_angle_beta 90.00
_cell_angle_gamma 120.00
loop_
_atom_site_label
_atom_site_fract_x
_atom_site_fract_y
_atom_site_fract_z
Dy1 0.0000 0.0000 0.0000
Tm1 0.0000 0.0000 0.7099
Mn1 0.0000 0.0000 0.2560
Mn2 0.0000 0.0000 0.4555
Mn3 0.0002 0.2758 0.3558
Mn4 0.9997 0.4998 0.8559
Mn5 0.0140 0.5070 0.2183
Mn6 0.1732 0.3464 0.8258
# DFT formation energy = -0.01 eV/atom

---

Record order is preserved below.
Electronic total energy: -63.93; -85.66; -55.59; -495.27 eV per cell